<P>
## HfAu3O (PBEsol)

Data for a relaxed structure of HfAu3O.

Output
**Total magnetization**: 1.58 μB/f.u.
**Crystal system**: cubic
**Space-group type**: Pm-3m (221)

a = 5.1329 Å, b = 5.1329 Å, c = 5.1329 Å
α = 90.00°, β = 90.00°, γ = 90.00°
Closest atoms and distances in Å follow each position.
Fractional positions:
Hf: 0.0000 0.0000 0.0000  6 Au 2.57
Au: 0.0000 0.0000 0.5000  2 Hf 2.57
Au: 0.0000 0.5000 0.0000  2 Hf 2.57
Au: 0.5000 0.0000 0.0000  2 Hf 2.57
O: 0.5000 0.5000 0.5000  12 Au 3.63

<Q>
## HfAu3O (PBEsol)

Data for a relaxed structure of HfAu3O.

Output
**Total magnetization**: 0.00 μB/f.u.
**Crystal system**: cubic
**Space-group type**: Pm-3m (221)

a = 4.4034 Å, b = 4.4034 Å, c = 4.4034 Å
α = 90.00°, β = 90.00°, γ = 90.00°
Closest atoms and distances in Å follow each position.
Fractional positions:
Hf: 0.0000 0.0000 0.0000  12 Au 3.11
Au: 0.0000 0.5000 0.5000  2 O 2.20
Au: 0.5000 0.0000 0.5000  2 O 2.20
Au: 0.5000 0.5000 0.0000  2 O 2.20
O: 0.5000 0.5000 0.5000  6 Au 2.20

Stability, descending: <Q>, <P>

<P>
## HgAu4 (PBEsol)

Data for a relaxed structure of HgAu4.

Output
**Total magnetization**: 0.00 μB/f.u.
**Crystal system**: trigonal
**Space-group type**: R-3m (166)

a = 11.7526 Å, b = 11.7526 Å, c = 11.7526 Å
α = 14.51°, β = 14.51°, γ = 14.51°
Closest atoms and distances in Å follow each position.
Fractional positions:
Hg: 0.0000 0.0000 0.0000  6 Au 2.96, 6 Hg 2.97
Au: 0.1990 0.1990 0.1990  12 Au 2.83-2.97
Au: 0.4026 0.4026 0.4026  9 Au 2.85-2.97, 3 Hg 2.96
Au: 0.5974 0.5974 0.5974  9 Au 2.85-2.97, 3 Hg 2.96
Au: 0.8010 0.8010 0.8010  12 Au 2.83-2.97

<Q>
## HgAu4 (PBEsol)

Data for a relaxed structure of HgAu4.

Output
**Total magnetization**: 0.00 μB/f.u.
**Crystal system**: tetragonal
**Space-group type**: I4/m (87)

a = 5.0371 Å, b = 5.0371 Å, c = 5.0371 Å
α = 100.02°, β = 100.02°, γ = 130.70°
Closest atoms and distances in Å follow each position.
Fractional positions:
Hg: 0.0000 0.0000 0.0000  12 Au 2.90-2.94
Au: 0.1979 0.4019 0.5998  9 Au 2.86-2.96, 3 Hg 2.90-2.94
Au: 0.4019 0.8021 0.2040  9 Au 2.86-2.96, 3 Hg 2.90-2.94
Au: 0.5981 0.1979 0.7960  9 Au 2.86-2.96, 3 Hg 2.90-2.94
Au: 0.8021 0.5981 0.4002  9 Au 2.86-2.96, 3 Hg 2.90-2.94

Stability, descending: <Q>, <P>

<P>
## Hg2IrAu (PBEsol)

Data for a relaxed structure of Hg2IrAu.

Output
**Total magnetization**: 0.00 μB/f.u.
**Crystal system**: orthorhombic
**Space-group type**: Immm (71)

a = 5.5751 Å, b = 5.5751 Å, c = 5.5751 Å
α = 148.48°, β = 127.62°, γ = 62.42°
Closest atoms and distances in Å follow each position.
Fractional positions:
Hg: 0.2433 0.2433 0.0000  2 Ir 2.77, 2 Au 2.88, 6 Hg 2.89-3.03
Hg: 0.7567 0.7567 0.0000  2 Ir 2.77, 2 Au 2.88, 6 Hg 2.89-3.03
Ir: 0.0000 0.5000 0.5000  4 Hg 2.77, 4 Au 2.89, 2 Ir 3.03
Au: 0.5000 0.0000 0.5000  4 Hg 2.88, 4 Ir 2.89, 2 Au 3.03

<Q>
## Hg2IrAu (PBEsol)

Data for a relaxed structure of Hg2IrAu.

Output
**Total magnetization**: 0.00 μB/f.u.
**Crystal system**: orthorhombic
**Space-group type**: Pmm2 (25)

a = 2.9720 Å, b = 4.1218 Å, c = 5.7929 Å
α = 90.00°, β = 90.00°, γ = 90.00°
Closest atoms and distances in Å follow each position.
Fractional positions:
Hg: 0.0000 0.0000 0.0000  2 Ir 2.86-2.94, 4 Au 2.89, 6 Hg 2.97-3.04
Hg: 0.5000 0.5000 0.2873  2 Au 2.74-3.05, 4 Ir 2.84, 6 Hg 2.97-3.04
Ir: 0.0000 0.0000 0.5071  6 Hg 2.84-2.94, 4 Au 2.93, 2 Ir 2.97
Au: 0.5000 0.5000 0.7606  6 Hg 2.74-3.05, 4 Ir 2.93, 2 Au 2.97

Stability, descending: <Q>, <P>

<P>
## LiHgAu (PBEsol)

Data for a relaxed structure of LiHgAu.

Output
**Total magnetization**: 0.00 μB/f.u.
**Crystal system**: trigonal
**Space-group type**: P3m1 (156)

a = 4.5657 Å, b = 4.5657 Å, c = 2.8460 Å
α = 90.00°, β = 90.00°, γ = 120.00°
Closest atoms and distances in Å follow each position.
Fractional positions:
Li: 0.0000 0.0000 0.0000  3 Au 2.74, 3 Hg 2.80, 2 Li 2.85
Hg: 0.6667 0.3333 0.6732  3 Li 2.80, 2 Hg 2.85, 6 Au 2.88-3.13
Au: 0.3333 0.6667 0.2631  3 Li 2.74, 2 Au 2.85, 3 Hg 2.88

<Q>
## LiHgAu (PBEsol)

Data for a relaxed structure of LiHgAu.

Output
**Total magnetization**: 0.00 μB/f.u.
**Crystal system**: orthorhombic
**Space-group type**: Imm2 (44)

a = 5.1055 Å, b = 5.1055 Å, c = 5.1055 Å
α = 145.35°, β = 136.88°, γ = 56.46°
Closest atoms and distances in Å follow each position.
Fractional positions:
Li: 0.0000 0.0000 0.0000  4 Au 2.75, 5 Hg 2.86-2.97, 2 Li 3.04
Hg: 0.3301 0.3301 0.0000  5 Au 2.84-2.93, 5 Li 2.86-2.97, 2 Hg 3.04
Au: 0.6456 0.6456 0.0000  4 Li 2.75, 5 Hg 2.84-2.93, 2 Au 3.04

Stability, descending: <Q>, <P>

<P>
## MgHgAu (PBEsol)

Data for a relaxed structure of MgHgAu.

Output
**Total magnetization**: 0.00 μB/f.u.
**Crystal system**: tetragonal
**Space-group type**: I4mm (107)

a = 5.1099 Å, b = 5.1099 Å, c = 5.1099 Å
α = 139.51°, β = 139.51°, γ = 58.59°
Closest atoms and distances in Å follow each position.
Fractional positions:
Mg: 0.0000 0.0000 0.0000  5 Au 2.84-3.11, 5 Hg 2.92-2.94
Hg: 0.6726 0.6726 0.0000  5 Au 2.89-2.95, 5 Mg 2.92-2.94
Au: 0.3484 0.3484 0.0000  5 Mg 2.84-3.11, 5 Hg 2.89-2.95

<Q>
## MgHgAu (PBEsol)

Data for a relaxed structure of MgHgAu.

Output
**Total magnetization**: 0.00 μB/f.u.
**Crystal system**: cubic
**Space-group type**: F-43m (216)

a = 4.5464 Å, b = 4.5464 Å, c = 4.5464 Å
α = 60.00°, β = 60.00°, γ = 60.00°
Closest atoms and distances in Å follow each position.
Fractional positions:
Mg: 0.0000 0.0000 0.0000  4 Au 2.78
Hg: 0.5000 0.5000 0.5000  4 Au 2.78
Au: 0.7500 0.7500 0.7500  4 Hg 2.78, 4 Mg 2.78

Stability, descending: <P>, <Q>

<P>
## Na2HgAu2 (PBEsol)

Data for a relaxed structure of Na2HgAu2.

Output
**Total magnetization**: 0.00 μB/f.u.
**Crystal system**: tetragonal
**Space-group type**: P4/mbm (127)

a = 7.2694 Å, b = 7.2694 Å, c = 4.1572 Å
α = 90.00°, β = 90.00°, γ = 90.00°
Closest atoms and distances in Å follow each position.
Fractional positions:
Na: 0.1671 0.3329 0.0000  6 Au 2.92-3.02
Na: 0.3329 0.8329 0.0000  6 Au 2.92-3.02
Na: 0.6671 0.1671 0.0000  6 Au 2.92-3.02
Na: 0.8329 0.6671 0.0000  6 Au 2.92-3.02
Hg: 0.0000 0.0000 0.5000  4 Au 2.84
Hg: 0.5000 0.5000 0.5000  4 Au 2.84
Au: 0.1327 0.6327 0.5000  1 Au 2.73, 2 Hg 2.84, 6 Na 2.92-3.02
Au: 0.3673 0.1327 0.5000  1 Au 2.73, 2 Hg 2.84, 6 Na 2.92-3.02
Au: 0.6327 0.8673 0.5000  1 Au 2.73, 2 Hg 2.84, 6 Na 2.92-3.02
Au: 0.8673 0.3673 0.5000  1 Au 2.73, 2 Hg 2.84, 6 Na 2.92-3.02

<Q>
## Na2HgAu2 (PBEsol)

Data for a relaxed structure of Na2HgAu2.

Output
**Total magnetization**: 0.00 μB/f.u.
**Crystal system**: tetragonal
**Space-group type**: I4/mmm (139)

a = 8.8073 Å, b = 8.8073 Å, c = 8.8073 Å
α = 155.31°, β = 155.31°, γ = 35.20°
Closest atoms and distances in Å follow each position.
Fractional positions:
Na: 0.1103 0.1103 0.0000  4 Au 3.01, 4 Hg 3.24
Na: 0.8897 0.8897 0.0000  4 Au 3.01, 4 Hg 3.24
Hg: 0.5000 0.5000 0.0000  8 Na 3.24
Au: 0.2500 0.7500 0.5000  4 Au 2.66
Au: 0.7500 0.2500 0.5000  4 Au 2.66

Stability, descending: <P>, <Q>

<P>
## Hg2OsAu (PBEsol)

Data for a relaxed structure of Hg2OsAu.

Output
**Total magnetization**: 0.01 μB/f.u.
**Crystal system**: tetragonal
**Space-group type**: I4/mmm (139)

a = 4.9612 Å, b = 4.9612 Å, c = 4.9612 Å
α = 129.86°, β = 129.86°, γ = 73.63°
Closest atoms and distances in Å follow each position.
Fractional positions:
Hg: 0.2500 0.7500 0.5000  4 Os 2.89, 4 Au 2.89, 4 Hg 2.97
Hg: 0.7500 0.2500 0.5000  4 Os 2.89, 4 Au 2.89, 4 Hg 2.97
Os: 0.0000 0.0000 0.0000  8 Hg 2.89, 4 Au 2.97
Au: 0.5000 0.5000 0.0000  8 Hg 2.89, 4 Os 2.97

<Q>
## Hg2OsAu (PBEsol)

Data for a relaxed structure of Hg2OsAu.

Output
**Total magnetization**: 0.01 μB/f.u.
**Crystal system**: orthorhombic
**Space-group type**: Cmm2 (35)

a = 2.8961 Å, b = 2.8961 Å, c = 10.1203 Å
α = 90.00°, β = 90.00°, γ = 121.66°
Closest atoms and distances in Å follow each position.
Fractional positions:
Hg: 0.0000 0.0000 0.0000  8 Hg 2.82-3.12, 2 Au 2.94
Hg: 0.5000 0.5000 0.2750  2 Os 2.82, 8 Hg 2.82-3.12
Os: 0.0000 0.0000 0.5161  2 Au 2.72, 2 Hg 2.82, 6 Os 2.82-2.90
Au: 0.5000 0.5000 0.7454  2 Os 2.72, 6 Au 2.82-2.90, 2 Hg 2.94

Stability, descending: <Q>, <P>

<P>
## Hg2PbAu2 (PBEsol)

Data for a relaxed structure of Hg2PbAu2.

Output
**Total magnetization**: 0.00 μB/f.u.
**Crystal system**: tetragonal
**Space-group type**: I4/mmm (139)

a = 7.7949 Å, b = 7.7949 Å, c = 7.7949 Å
α = 150.83°, β = 150.83°, γ = 41.73°
Closest atoms and distances in Å follow each position.
Fractional positions:
Hg: 0.1053 0.1053 0.0000  4 Au 2.88, 1 Hg 3.07, 4 Pb 3.17
Hg: 0.8947 0.8947 0.0000  4 Au 2.88, 1 Hg 3.07, 4 Pb 3.17
Pb: 0.5000 0.5000 0.0000  8 Hg 3.17
Au: 0.2500 0.7500 0.5000  4 Au 2.78, 4 Hg 2.88
Au: 0.7500 0.2500 0.5000  4 Au 2.78, 4 Hg 2.88

<Q>
## Hg2PbAu2 (PBEsol)

Data for a relaxed structure of Hg2PbAu2.

Output
**Total magnetization**: 0.00 μB/f.u.
**Crystal system**: tetragonal
**Space-group type**: I4/mmm (139)

a = 7.2907 Å, b = 7.2907 Å, c = 7.2907 Å
α = 147.29°, β = 147.29°, γ = 46.94°
Closest atoms and distances in Å follow each position.
Fractional positions:
Hg: 0.2500 0.7500 0.5000  4 Au 2.88, 4 Hg 2.90
Hg: 0.7500 0.2500 0.5000  4 Au 2.88, 4 Hg 2.90
Pb: 0.0000 0.0000 0.0000  8 Au 3.19
Au: 0.4007 0.4007 0.0000  1 Au 2.66, 4 Hg 2.88
Au: 0.5993 0.5993 0.0000  1 Au 2.66, 4 Hg 2.88

Stability, descending: <Q>, <P>

<P>
## ReHg2Au (PBEsol)

Data for a relaxed structure of ReHg2Au.

Output
**Total magnetization**: 0.75 μB/f.u.
**Crystal system**: orthorhombic
**Space-group type**: Pmmm (47)

a = 2.8209 Å, b = 4.9713 Å, c = 5.1552 Å
α = 90.00°, β = 90.00°, γ = 90.00°
Closest atoms and distances in Å follow each position.
Fractional positions:
Re: 0.0000 0.0000 0.0000  2 Re 2.82, 4 Hg 2.86, 4 Au 2.94
Hg: 0.0000 0.5000 0.5000  6 Hg 2.82-2.94, 4 Au 2.86
Hg: 0.5000 0.5000 0.0000  6 Hg 2.82-2.94, 4 Re 2.86
Au: 0.5000 0.0000 0.5000  2 Au 2.82, 4 Hg 2.86, 4 Re 2.94

<Q>
## ReHg2Au (PBEsol)

Data for a relaxed structure of ReHg2Au.

Output
**Total magnetization**: 0.00 μB/f.u.
**Crystal system**: monoclinic
**Space-group type**: Cm (8)

a = 5.6026 Å, b = 5.6026 Å, c = 5.1377 Å
α = 115.17°, β = 115.17°, γ = 29.38°
Closest atoms and distances in Å follow each position.
Fractional positions:
Re: 0.0000 0.0000 0.0000  2 Au 2.79, 2 Re 2.84, 7 Hg 2.85-3.03
Hg: 0.2541 0.2541 0.9266  5 Hg 2.84-3.12, 3 Re 2.89-2.94, 4 Au 2.92-2.98
Hg: 0.4840 0.4840 0.5052  5 Hg 2.84-3.12, 4 Re 2.85-3.03, 3 Au 2.86-2.99
Au: 0.7237 0.7237 0.4045  2 Re 2.79, 2 Au 2.84, 7 Hg 2.86-2.99

<R>
## ReHg2Au (PBEsol)

Data for a relaxed structure of ReHg2Au.

Output
**Total magnetization**: 0.31 μB/f.u.
**Crystal system**: tetragonal
**Space-group type**: P4/mmm (123)

a = 4.1978 Å, b = 4.1978 Å, c = 3.9979 Å
α = 90.00°, β = 90.00°, γ = 90.00°
Closest atoms and distances in Å follow each position.
Fractional positions:
Re: 0.0000 0.0000 0.0000  8 Hg 2.90, 4 Au 2.97
Hg: 0.0000 0.5000 0.5000  4 Re 2.90, 4 Au 2.90, 4 Hg 2.97
Hg: 0.5000 0.0000 0.5000  4 Re 2.90, 4 Au 2.90, 4 Hg 2.97
Au: 0.5000 0.5000 0.0000  8 Hg 2.90, 4 Re 2.97

Stability, descending: <Q>, <R>, <P>

<P>
## TcHg2Au (PBEsol)

Data for a relaxed structure of TcHg2Au.

Output
**Total magnetization**: 0.00 μB/f.u.
**Crystal system**: orthorhombic
**Space-group type**: Immm (71)

a = 5.6467 Å, b = 5.6467 Å, c = 5.6467 Å
α = 150.03°, β = 126.78°, γ = 62.29°
Closest atoms and distances in Å follow each position.
Fractional positions:
Tc: 0.0000 0.0000 0.0000  4 Hg 2.80, 2 Tc 2.92, 4 Au 2.92
Hg: 0.2471 0.7471 0.5000  2 Tc 2.80, 2 Au 2.85, 6 Hg 2.92
Hg: 0.7529 0.2529 0.5000  2 Tc 2.80, 2 Au 2.85, 6 Hg 2.92
Au: 0.5000 0.5000 0.0000  4 Hg 2.85, 2 Au 2.92, 4 Tc 2.92

<Q>
## TcHg2Au (PBEsol)

Data for a relaxed structure of TcHg2Au.

Output
**Total magnetization**: 2.44 μB/f.u.
**Crystal system**: cubic
**Space-group type**: F-43m (216)

a = 4.6781 Å, b = 4.6781 Å, c = 4.6781 Å
α = 60.00°, β = 60.00°, γ = 60.00°
Closest atoms and distances in Å follow each position.
Fractional positions:
Tc: 0.0000 0.0000 0.0000  4 Hg 2.86, 4 Au 2.86
Hg: 0.5000 0.5000 0.5000  4 Hg 2.86, 4 Au 2.86
Hg: 0.7500 0.7500 0.7500  4 Hg 2.86, 4 Tc 2.86
Au: 0.2500 0.2500 0.2500  4 Hg 2.86, 4 Tc 2.86

Stability, descending: <P>, <Q>

<P>
## TlHg2Au2 (PBEsol)

Data for a relaxed structure of TlHg2Au2.

Output
**Total magnetization**: 0.00 μB/f.u.
**Crystal system**: tetragonal
**Space-group type**: I4/mmm (139)

a = 8.4379 Å, b = 8.4379 Å, c = 8.4379 Å
α = 153.86°, β = 153.86°, γ = 37.30°
Closest atoms and distances in Å follow each position.
Fractional positions:
Tl: 0.0000 0.0000 0.0000  8 Hg 3.23
Hg: 0.3893 0.3893 0.0000  4 Au 2.93, 4 Tl 3.23
Hg: 0.6107 0.6107 0.0000  4 Au 2.93, 4 Tl 3.23
Au: 0.2500 0.7500 0.5000  4 Au 2.70, 4 Hg 2.93
Au: 0.7500 0.2500 0.5000  4 Au 2.70, 4 Hg 2.93

<Q>
## TlHg2Au2 (PBEsol)

Data for a relaxed structure of TlHg2Au2.

Output
**Total magnetization**: 0.00 μB/f.u.
**Crystal system**: tetragonal
**Space-group type**: P4/mbm (127)

a = 8.4175 Å, b = 8.4175 Å, c = 2.9988 Å
α = 90.00°, β = 90.00°, γ = 90.00°
Closest atoms and distances in Å follow each position.
Fractional positions:
Tl: 0.0000 0.0000 0.0000  2 Tl 3.00, 4 Hg 3.30
Tl: 0.5000 0.5000 0.0000  2 Tl 3.00, 4 Hg 3.30
Hg: 0.1301 0.3699 0.0000  6 Au 2.83-2.94, 3 Hg 3.00-3.10
Hg: 0.3699 0.8699 0.0000  6 Au 2.83-2.94, 3 Hg 3.00-3.10
Hg: 0.6301 0.1301 0.0000  6 Au 2.83-2.94, 3 Hg 3.00-3.10
Hg: 0.8699 0.6301 0.0000  6 Au 2.83-2.94, 3 Hg 3.00-3.10
Au: 0.1682 0.6682 0.5000  6 Hg 2.83-2.94, 2 Au 3.00
Au: 0.3318 0.1682 0.5000  6 Hg 2.83-2.94, 2 Au 3.00
Au: 0.6682 0.8318 0.5000  6 Hg 2.83-2.94, 2 Au 3.00
Au: 0.8318 0.3318 0.5000  6 Hg 2.83-2.94, 2 Au 3.00

Stability, descending: <Q>, <P>

<P>
## TlHgAu2 (PBEsol)

Data for a relaxed structure of TlHgAu2.

Output
**Total magnetization**: 0.00 μB/f.u.
**Crystal system**: trigonal
**Space-group type**: R-3m (166)

a = 7.0488 Å, b = 7.0488 Å, c = 7.0488 Å
α = 32.63°, β = 32.63°, γ = 32.63°
Closest atoms and distances in Å follow each position.
Fractional positions:
Tl: 0.0000 0.0000 0.0000  6 Au 2.86
Hg: 0.5000 0.5000 0.5000  6 Au 2.80
Au: 0.2474 0.2474 0.2474  3 Hg 2.80, 3 Tl 2.86
Au: 0.7526 0.7526 0.7526  3 Hg 2.80, 3 Tl 2.86

<Q>
## TlHgAu2 (PBEsol)

Data for a relaxed structure of TlHgAu2.

Output
**Total magnetization**: 0.00 μB/f.u.
**Crystal system**: orthorhombic
**Space-group type**: Pmm2 (25)

a = 3.1372 Å, b = 3.7784 Å, c = 7.0598 Å
α = 90.00°, β = 90.00°, γ = 90.00°
Closest atoms and distances in Å follow each position.
Fractional positions:
Tl: 0.0000 0.0000 0.0000  5 Au 3.07-3.26, 2 Tl 3.14, 4 Hg 3.28
Hg: 0.5000 0.5000 0.6913  5 Au 2.94-3.04, 2 Hg 3.14, 4 Tl 3.28
Au: 0.0000 0.0000 0.4615  6 Au 2.84-3.14, 4 Hg 2.94
Au: 0.5000 0.5000 0.2601  6 Au 2.84-3.14, 1 Hg 3.04, 4 Tl 3.07

<R>
## TlHgAu2 (PBEsol)

Data for a relaxed structure of TlHgAu2.

Output
**Total magnetization**: 0.00 μB/f.u.
**Crystal system**: monoclinic
**Space-group type**: Cm (8)

a = 5.0875 Å, b = 5.0875 Å, c = 4.7355 Å
α = 104.82°, β = 104.82°, γ = 44.21°
Closest atoms and distances in Å follow each position.
Fractional positions:
Tl: 0.0000 0.0000 0.0000  7 Au 2.90-3.11, 3 Hg 2.93-3.15
Hg: 0.7645 0.7645 0.2956  7 Au 2.89-3.18, 3 Tl 2.93-3.15
Au: 0.2484 0.2484 0.7510  3 Tl 2.90-3.02, 4 Hg 2.92-3.18, 3 Au 2.92-2.95
Au: 0.5102 0.5102 0.5239  3 Hg 2.89-2.97, 3 Au 2.92-2.95, 4 Tl 2.98-3.11

Stability, descending: <Q>, <R>, <P>